#1
The following is a DFT calculation (PBE) of an optimized crystal structure of HfCu3Hg.

Lattice parameters (Å, degrees): 4.6904 4.6904 4.6904 90.00 90.00 90.00
Closest atoms and distances in Å follow each position.
Positions (direct):
Cu 0.0000 0.0000 0.5000  2 Hg 2.35
Hg 0.0000 0.0000 0.0000  6 Cu 2.35
Hf 0.5000 0.5000 0.5000  12 Cu 3.32
Cu 0.5000 0.0000 0.0000  2 Hg 2.35
Cu 0.0000 0.5000 0.0000  2 Hg 2.35

Output
spin magnetization = 0.00 Bohr magnetons per cell

#2
The following is a DFT calculation (PBE) of an optimized crystal structure of HfCu3Hg.

Lattice parameters (Å, degrees): 4.9637 4.9637 4.9637 90.00 90.00 90.00
Closest atoms and distances in Å follow each position.
Positions (direct):
Hf 0.0000 0.0000 0.0000  6 Cu 2.48
Hg 0.5000 0.5000 0.5000  12 Cu 3.51
Cu 0.5000 0.0000 0.0000  2 Hf 2.48
Cu 0.0000 0.5000 0.0000  2 Hf 2.48
Cu 0.0000 0.0000 0.5000  2 Hf 2.48

Output
spin magnetization = 0.00 Bohr magnetons per cell

Of the structures shown above, #1 is the most stable.